Compound: Tm2AlV
Source: Alexandria via LeMat-Bulk
Functional: PBE
Structure: optimized geometry

Summary:
Final energy in eV/atom: -4.97
Density of states at the Fermi level in states/eV per cell: 4.5
Energy relative to the elements in eV/atom: 0.48
Relative energy among the computed polymorphs in kJ/mol of formula units: 207.4

a b c (Å): 3.249 3.249 10.649
angles (deg): 81.23 81.23 60.00
Fractional positions:
Tm 0.091 0.091 0.728
Tm 0.909 0.909 0.272
Al 0.500 0.500 0.500
V 0.000 0.000 0.000


Compound: LaTmTl2
Source: Alexandria via LeMat-Bulk
Functional: PBE
Structure: optimized geometry

Summary:
Final energy in eV/atom: -3.91
Density of states at the Fermi level in states/eV per cell: 3.5
Energy relative to the elements in eV/atom: -0.37

a b c (Å): 3.819 3.819 7.910
angles (deg): 90.00 90.00 90.00
Fractional positions:
Tl 0.000 0.000 0.772
Tl 0.000 0.000 0.228
Tm 0.500 0.500 0.000
La 0.500 0.500 0.500


Compound: GaOsPt3
Source: Alexandria via LeMat-Bulk
Functional: PBE
Structure: optimized geometry

Summary:
Final energy in eV/atom: -5.22
Density of states at the Fermi level in states/eV per cell: 4.5
Energy relative to the elements in eV/atom: 1.26
Relative energy among the computed polymorphs in kJ/mol of formula units: 59.1

a b c (Å): 4.566 4.566 4.566
angles (deg): 90.00 90.00 90.00
Fractional positions:
Os 0.500 0.500 0.500
Ga 0.000 0.000 0.000
Pt 0.000 0.500 0.000
Pt 0.000 0.000 0.500
Pt 0.500 0.000 0.000


What is the formula in the second record?
LaTmTl2


energy relative to the elements of number 2 (LaTmTl2)?
-0.37 eV/atom


What is the final energy in the second record?
-3.91 eV/atom